[1]
Density functional theory data (GGA-PBE) for a relaxed structure of Na2Zr2InGaPt2.

POSCAR file:
```
Na2Zr2InGaPt2
1.0
4.673 0.000 0.000
0.000 4.673 0.000
0.000 0.000 6.637
Na Zr In Ga Pt
2 2 1 1 2
direct
0.000 0.500 0.241 Na
0.500 0.000 0.759 Na
0.000 0.000 0.000 Zr
0.500 0.500 0.500 Zr
0.000 0.000 0.500 In
0.500 0.500 0.000 Ga
0.000 0.500 0.758 Pt
0.500 0.000 0.242 Pt
```

Output
Spin magnetization   0.009 μB per formula unit
Total energy   -5.176 eV/atom



[2]
Density functional theory data (GGA-PBE) for a relaxed structure of ErHfTeC.

POSCAR file:
```
ErHfTeC
1.0
3.609 0.000 0.000
-1.805 3.126 0.000
0.000 0.000 13.704
Er Hf Te C
2 2 2 2
direct
0.000 0.000 0.165 Er
0.000 0.000 0.835 Er
0.667 0.333 0.345 Hf
0.667 0.333 0.655 Hf
0.000 0.000 0.500 Te
0.667 0.333 0.000 Te
0.333 0.667 0.268 C
0.333 0.667 0.732 C
```

Output
Spin magnetization   0.003 μB per formula unit
Total energy   -7.559 eV/atom
Excess energy over the best structure of this formula in the dataset   0.014 eV per atom



[3]
Density functional theory data (GGA-PBE) for a relaxed structure of NdSmGe.

POSCAR file:
```
NdSmGe
1.0
5.329 0.000 0.000
-2.664 4.615 0.000
0.000 0.000 6.445
Nd Sm Ge
2 2 2
direct
0.000 0.000 0.000 Nd
0.000 0.000 0.500 Nd
0.333 0.667 0.250 Sm
0.667 0.333 0.750 Sm
0.333 0.667 0.750 Ge
0.667 0.333 0.250 Ge
```

Output
Spin magnetization   0.577 μB per formula unit
Total energy   -5.229 eV/atom
Excess energy over the best structure of this formula in the dataset   0.061 eV per atom



[4]
Density functional theory data (GGA-PBE) for a relaxed structure of HfMgNiB.

POSCAR file:
```
HfMgNiB
1.0
0.000 3.010 3.010
3.010 0.000 3.010
3.010 3.010 0.000
Hf Mg Ni B
1 1 1 1
direct
0.000 0.000 0.000 Hf
0.500 0.500 0.500 Mg
0.250 0.250 0.250 Ni
0.750 0.750 0.750 B
```

Output
Spin magnetization   0.002 μB per formula unit
Total energy   -5.970 eV/atom
Excess energy over the best structure of this formula in the dataset   0.000 eV per atom



[5]
Density functional theory data (GGA-PBE) for a relaxed structure of NaTmAlSe3.

POSCAR file:
```
NaTmAlSe3
1.0
2.005 -6.980 0.000
2.005 6.980 0.000
0.000 0.000 10.735
Na Tm Al Se
2 2 2 6
direct
0.247 0.753 0.750 Na
0.753 0.247 0.250 Na
0.000 0.000 0.000 Tm
0.000 0.000 0.500 Tm
0.467 0.533 0.250 Al
0.533 0.467 0.750 Al
0.072 0.928 0.250 Se
0.361 0.639 0.073 Se
0.361 0.639 0.427 Se
0.639 0.361 0.573 Se
0.639 0.361 0.927 Se
0.928 0.072 0.750 Se
```

Output
Spin magnetization   0.004 μB per formula unit
Total energy   -4.479 eV/atom



[6]
Density functional theory data (GGA-PBE) for a relaxed structure of TaCoTcSb.

POSCAR file:
```
TaCoTcSb
1.0
0.000 3.166 3.166
3.166 0.000 3.166
3.166 3.166 0.000
Ta Co Tc Sb
1 1 1 1
direct
0.000 0.000 0.000 Ta
0.750 0.750 0.750 Co
0.250 0.250 0.250 Tc
0.500 0.500 0.500 Sb
```

Output
Spin magnetization   2.000 μB per formula unit
Total energy   -8.399 eV/atom
Excess energy over the best structure of this formula in the dataset   0.000 eV per atom



[7]
Density functional theory data (GGA-PBE) for a relaxed structure of HoThNi2.

POSCAR file:
```
HoThNi2
1.0
3.655 0.000 0.000
0.000 4.340 0.000
-1.811 0.000 5.168
Ho Th Ni
1 1 2
direct
0.000 0.000 0.000 Ho
0.272 0.500 0.546 Th
0.558 0.500 0.118 Ni
0.718 0.000 0.436 Ni
```

Output
Spin magnetization   0.004 μB per formula unit
Total energy   -6.253 eV/atom



[8]
Density functional theory data (GGA-PBE) for a relaxed structure of CdSiB2.

POSCAR file:
```
CdSiB2
1.0
0.000 3.017 3.017
3.017 0.000 3.017
3.017 3.017 0.000
Cd Si B
1 1 2
direct
0.000 0.000 0.000 Cd
0.750 0.750 0.750 Si
0.250 0.250 0.250 B
0.500 0.500 0.500 B
```

Output
Total energy   -3.164 eV/atom



[9]
Density functional theory data (GGA-PBE) for a relaxed structure of DyOsNO.

POSCAR file:
```
DyOsNO
1.0
3.475 0.000 0.000
0.000 3.475 0.000
0.000 0.000 4.234
Dy Os N O
1 1 1 1
direct
0.000 0.000 0.000 Dy
0.500 0.500 0.500 Os
0.500 0.500 0.000 N
0.000 0.000 0.500 O
```

Output
Spin magnetization   0.027 μB per formula unit
Total energy   -7.916 eV/atom
Excess energy over the best structure of this formula in the dataset   0.808 eV per atom



[10]
Density functional theory data (GGA-PBE) for a relaxed structure of PPt2.

POSCAR file:
```
PPt2
1.0
0.000 5.117 5.117
5.117 0.000 5.117
5.117 5.117 0.000
P Pt
2 4
direct
0.125 0.125 0.125 P
0.875 0.875 0.875 P
0.000 0.000 0.000 Pt
0.000 0.000 0.500 Pt
0.000 0.500 0.000 Pt
0.500 0.000 0.000 Pt
```

Output
Spin magnetization   0.006 μB per formula unit
Total energy   -4.950 eV/atom



[11]
Density functional theory data (GGA-PBE) for a relaxed structure of Cs3ErBr6.

POSCAR file:
```
Cs3ErBr6
1.0
8.374 0.000 0.000
0.000 8.839 0.000
-8.253 0.000 11.943
Cs Er Br
6 2 12
direct
0.000 0.000 0.000 Cs
0.000 0.500 0.500 Cs
0.222 0.068 0.747 Cs
0.222 0.432 0.247 Cs
0.778 0.568 0.753 Cs
0.778 0.932 0.253 Cs
0.500 0.000 0.500 Er
0.500 0.500 0.000 Er
0.184 0.174 0.452 Br
0.184 0.326 0.952 Br
0.272 0.738 0.434 Br
0.272 0.762 0.934 Br
0.393 0.043 0.282 Br
0.393 0.457 0.782 Br
0.607 0.543 0.218 Br
0.607 0.957 0.718 Br
0.728 0.238 0.066 Br
0.728 0.262 0.566 Br
0.816 0.674 0.048 Br
0.816 0.826 0.548 Br
```

Output
Spin magnetization   0.002 μB per formula unit
Total energy   -3.588 eV/atom



[12]
Density functional theory data (GGA-PBE) for a relaxed structure of GdNpB.

POSCAR file:
```
GdNpB
1.0
0.000 3.147 3.147
3.147 0.000 3.147
3.147 3.147 0.000
Gd Np B
1 1 1
direct
0.000 0.000 0.000 Gd
0.500 0.500 0.500 Np
0.250 0.250 0.250 B
```

Output
Spin magnetization   4.335 μB per formula unit
Total energy   -7.584 eV/atom



Question: Which formula does entry 5 have?
Answer: NaTmAlSe3



Question: What is the total energy in the fourth record?
Answer: -5.970 eV/atom



Question: Which of these has the lowest total energy?
Answer: TaCoTcSb



Question: total energy of number 12 (GdNpB)?
Answer: -7.584 eV/atom